# 1
Density functional theory data (GGA-PBE) for an optimized crystal structure of BaPrEr.

The density of states at the Fermi level is 10.054 states/eV/cell. For the theoretical density, the calculation gives 6110 kg/m3. The value obtained for the electronic total energy is -3.59 eV/atom. Its total magnetization is 0.01 μB/f.u. Its formation energy is 162.9 meV/atom.

Cell: 3.8291 3.8291 16.5158 Å, 90.00 90.00 90.00°
With the nearest neighbours (Å) after each atom.
Space group I4mm (No. 107)
Inequivalent atoms, fractional coordinates:
Ba 0.0000 0.0000 0.0000 x2  4 Ba 3.83, 4 Er 4.01, 4 Pr 4.07
Pr 0.0000 0.0000 0.6840 x2  4 Er 3.52, 4 Pr 3.83
Er 0.0000 0.0000 0.3205 x2  4 Pr 3.52, 4 Er 3.83

---

# 2
Density functional theory data (GGA-PBE) for an optimized crystal structure of BaPrEr2.

The density of states at the Fermi level is 18.412 states/eV/cell. For the theoretical density, the calculation gives 6901 kg/m3. The value obtained for the electronic total energy is -3.71 eV/atom. Its total magnetization is 0.05 μB/f.u. Its formation energy is 242.5 meV/atom.

Cell: 3.6316 3.6316 38.7268 Å, 90.00 90.00 120.00°
With the nearest neighbours (Å) after each atom.
Space group R-3m (No. 166, hexagonal axes)
Inequivalent atoms, fractional coordinates:
Ba 0.0000 0.0000 0.0000 x3  2 Er 3.60, 6 Ba 3.63
Pr 0.0000 0.0000 0.5000 x3  6 Er 3.54, 6 Pr 3.63
Er 0.0000 0.0000 0.0929 x6  3 Pr 3.54, 1 Ba 3.60, 6 Er 3.63

---

Among the records above, which one has the highest density of states at the Fermi level?
BaPrEr2

---

Which value of theoretical density does entry 2 give?
6901 kg/m3